First-principles (PBE) data for a relaxed YTi2In2 crystal, as listed in Alexandria via LeMat-Bulk.

```
10
Lattice="-0.891 -7.774 -2.103 2.941 -2.284 7.196 -3.117 0.012 1.277" Properties=species:S:1:pos:R:3 pbc="T T T"
Ti -1.342 -2.932 1.194
Ti -1.333 -7.172 1.254
Ti 0.275 -7.114 5.177
Ti 0.266 -2.874 5.117
In -0.185 -5.168 -0.403
In 2.234 -4.890 5.496
In 0.982 -1.841 2.414
In 1.067 -8.217 2.680
Y 0.000 0.000 0.000
Y 1.025 -5.029 2.547
```

Output
For the density of states at the Fermi level, the calculation gives 6.12 states/eV/f.u. The value obtained for the energy above the most stable polymorph in this dataset is 50.9 meV/atom. As for the formation energy: -68 meV per atom. As for the space group: P4/mbm, No. 127. The value obtained for the total moment is 0.0 μB per cell.

First-principles (PBE) data for a relaxed YTiIn2 crystal, as listed in Alexandria via LeMat-Bulk.

```
4
Lattice="-0.364 3.100 -3.237 -4.509 -0.112 0.399 0.194 3.278 3.118" Properties=species:S:1:pos:R:3 pbc="T T T"
Y -2.339 3.133 0.140
In 0.097 1.639 1.559
In -2.255 -0.056 0.200
Ti -0.182 1.550 -1.619
```

Output
For the density of states at the Fermi level, the calculation gives 2.33 states/eV/f.u. As for the formation energy: -244 meV per atom. As for the space group: P4/mmm, No. 123. The value obtained for the total moment is 1.7 μB per cell.

First-principles (PBE) data for a relaxed YTiIn2 crystal, as listed in Alexandria via LeMat-Bulk.

```
4
Lattice="3.660 0.000 0.000 0.000 3.660 0.000 0.000 0.000 6.882" Properties=species:S:1:pos:R:3 pbc="T T T"
Y 1.830 1.830 3.441
Ti 1.830 1.830 0.000
In 0.000 0.000 5.375
In 0.000 0.000 1.507
```

Output
For the density of states at the Fermi level, the calculation gives 2.41 states/eV/f.u. As for the formation energy: -226 meV per atom. As for the space group: P4/mmm, No. 123. The value obtained for the total moment is 0.9 μB per cell.

First-principles (PBE) data for a relaxed YTi2In2 crystal, as listed in Alexandria via LeMat-Bulk.

```
5
Lattice="-1.078 3.580 -1.819 -3.962 -1.255 -0.120 -3.569 3.899 5.037" Properties=species:S:1:pos:R:3 pbc="T T T"
Ti -3.584 4.321 1.124
Ti -5.026 1.904 1.973
In -2.740 1.734 0.285
In -5.870 4.490 2.812
Y 0.000 0.000 0.000
```

Output
For the density of states at the Fermi level, the calculation gives 4.48 states/eV/f.u. The value obtained for the energy above the most stable polymorph in this dataset is 0.0 meV/atom. As for the formation energy: -119 meV per atom. As for the space group: I4/mmm, No. 139. The value obtained for the total moment is 2.3 μB per cell.

First-principles (PBE) data for a relaxed YTi3In crystal, as listed in Alexandria via LeMat-Bulk.

```
5
Lattice="-4.190 0.688 2.395 -2.408 0.091 -4.238 -0.643 -4.826 0.261" Properties=species:S:1:pos:R:3 pbc="T T T"
Y 0.000 0.000 0.000
In -3.621 -2.023 -0.791
Ti -2.095 0.344 1.198
Ti -0.322 -2.413 0.131
Ti -1.204 0.046 -2.119
```

Output
For the density of states at the Fermi level, the calculation gives 5.53 states/eV/f.u. The value obtained for the energy above the most stable polymorph in this dataset is 411.8 meV/atom. As for the formation energy: 1316 meV per atom. As for the space group: Pm-3m, No. 221. The value obtained for the total moment is 1.7 μB per cell.

First-principles (PBE) data for a relaxed YTiIn2 crystal, as listed in Alexandria via LeMat-Bulk.

```
8
Lattice="4.468 0.000 0.000 0.000 4.468 0.000 2.234 2.234 10.658" Properties=species:S:1:pos:R:3 pbc="T T T"
In 1.226 3.351 2.664
In 3.351 3.460 7.993
In 3.242 1.117 2.664
In 5.585 5.475 7.993
Ti 2.234 4.468 5.329
Ti 2.234 2.234 0.000
Y 0.000 0.000 0.000
Y 4.468 2.234 5.329
```

Output
For the density of states at the Fermi level, the calculation gives 3.58 states/eV/f.u. As for the formation energy: 242 meV per atom. As for the space group: I-42d, No. 122. The value obtained for the total moment is 4.8 μB per cell.

First-principles (PBE) data for a relaxed YTi3In crystal, as listed in Alexandria via LeMat-Bulk.

```
5
Lattice="5.096 0.000 0.000 0.000 5.096 0.000 0.000 0.000 5.096" Properties=species:S:1:pos:R:3 pbc="T T T"
Ti 0.000 0.000 2.548
Ti 2.548 0.000 0.000
Ti 0.000 2.548 0.000
Y 2.548 2.548 2.548
In 0.000 0.000 0.000
```

Output
For the density of states at the Fermi level, the calculation gives 4.57 states/eV/f.u. The value obtained for the energy above the most stable polymorph in this dataset is 0.0 meV/atom. As for the formation energy: 905 meV per atom. As for the space group: Pm-3m, No. 221. The value obtained for the total moment is 3.8 μB per cell.

First-principles (PBE) data for a relaxed YTi2In2 crystal, as listed in Alexandria via LeMat-Bulk.

```
10
Lattice="8.449 0.000 0.000 0.000 8.449 0.000 0.000 0.000 3.079" Properties=species:S:1:pos:R:3 pbc="T T T"
Ti 0.934 3.290 0.000
Ti 3.290 7.515 0.000
Ti 7.515 5.159 0.000
Ti 5.159 0.934 0.000
In 5.765 6.910 1.540
In 1.540 5.765 1.540
In 6.910 2.685 1.540
In 2.685 1.540 1.540
Y 4.225 4.225 0.000
Y 0.000 0.000 0.000
```

Output
For the density of states at the Fermi level, the calculation gives 5.47 states/eV/f.u. The value obtained for the energy above the most stable polymorph in this dataset is 0.5 meV/atom. As for the formation energy: -118 meV per atom. As for the space group: P4/mbm, No. 127. The value obtained for the total moment is 4.8 μB per cell.

First-principles (PBE) data for a relaxed Ti4Zn2In crystal, as listed in Alexandria via LeMat-Bulk.

```
7
Lattice="4.173 0.000 0.000 2.087 3.614 0.000 2.087 1.205 9.080" Properties=species:S:1:pos:R:3 pbc="T T T"
Ti 4.173 2.409 7.395
Ti 4.173 2.409 1.685
Ti 6.260 3.614 5.372
Ti 2.087 1.205 3.707
Zn 6.260 3.614 2.713
Zn 2.087 1.205 6.367
In 0.000 0.000 0.000
```

Output
For the density of states at the Fermi level, the calculation gives 8.92 states/eV/f.u. As for the formation energy: 349 meV per atom. As for the space group: R-3m, No. 166. The value obtained for the total moment is 1.2 μB per cell.